Compound: Cs2Zr3PbO8
Source: the Alexandria database
Functional: PBE
Structure: optimized geometry

Uncorrected energy: -320.9 eV/cell
Uncorrected formation energy: -2.589 eV/atom
Total moment: 0.00 μB per formula unit

Cell: 6.6038 6.6038 21.9563 Å, 90.00 90.00 120.00°
Space group R3m (No. 160, hexagonal axes)
Asymmetric unit:
1 Cs 0.0000 0.0000 0.0000 (multiplicity 3)
2 Cs 0.0000 0.0000 0.3673 (multiplicity 3)
3 Zr 0.0065 0.5032 0.8692 (multiplicity 9)
4 Pb 0.0000 0.0000 0.7718 (multiplicity 3)
5 O 0.0000 0.0000 0.1493 (multiplicity 3)
6 O 0.0000 0.0000 0.5800 (multiplicity 3)
7 O 0.0201 0.5100 0.1493 (multiplicity 9)
8 O 0.1865 0.3731 0.9162 (multiplicity 9)